Material: LiMg3Ag6
Method: DFT, PBE
State: relaxed

abc: 7.9117 4.7266 9.9801
angles: 90.00 107.08 90.00
Atoms (fractional coordinates):
Li: 0.0495 0.2500 0.4032
Li: 0.9505 0.7500 0.5968
Mg: 0.2329 0.2500 0.0028
Mg: 0.3539 0.7500 0.7894
Mg: 0.4552 0.2500 0.6061
Mg: 0.5448 0.7500 0.3939
Mg: 0.6461 0.2500 0.2106
Mg: 0.7671 0.7500 0.9972
Ag: 0.0562 0.7500 0.8835
Ag: 0.1433 0.2500 0.6952
Ag: 0.1525 0.7500 0.1913
Ag: 0.2402 0.7500 0.4947
Ag: 0.3404 0.2500 0.3080
Ag: 0.4558 0.7500 0.0877
Ag: 0.5442 0.2500 0.9123
Ag: 0.6596 0.7500 0.6920
Ag: 0.7598 0.2500 0.5053
Ag: 0.8475 0.2500 0.8087
Ag: 0.8567 0.7500 0.3048
Ag: 0.9438 0.2500 0.1165

- calculated density (g/cm³) = 6.77
- space-group type = P2_1/m
- calculated formation energy (eV/atom) = -0.20
- Fermi-level density of states (states/eV/f.u.) = 2.34

---

Material: Pr2Ge5Ir
Method: DFT, PBE
State: relaxed

abc: 6.5169 6.5169 6.5169
angles: 125.71 125.71 80.37
Atoms (fractional coordinates):
Pr: 0.0000 0.5000 0.5000
Pr: 0.5000 0.0000 0.5000
Ge: 0.0093 0.0093 0.5351
Ge: 0.0093 0.4742 0.0000
Ge: 0.4274 0.4274 0.0000
Ge: 0.4742 0.0093 0.0000
Ge: 0.4742 0.4742 0.4649
Ir: 0.8502 0.8502 0.0000

- calculated density (g/cm³) = 7.90
- space-group type = I4mm
- calculated formation energy (eV/atom) = -0.46
- Fermi-level density of states (states/eV/f.u.) = 4.05

---

Question: The highest calculated formation energy belongs to which entry?
Answer: LiMg3Ag6

---

Question: Which formula does entry 1 have?
Answer: LiMg3Ag6

---

What did the second record say?
Material: Pr2Ge5Ir
Method: DFT, PBE
State: relaxed

abc: 6.5169 6.5169 6.5169
angles: 125.71 125.71 80.37
Atoms (fractional coordinates):
Pr: 0.0000 0.5000 0.5000
Pr: 0.5000 0.0000 0.5000
Ge: 0.0093 0.0093 0.5351
Ge: 0.0093 0.4742 0.0000
Ge: 0.4274 0.4274 0.0000
Ge: 0.4742 0.0093 0.0000
Ge: 0.4742 0.4742 0.4649
Ir: 0.8502 0.8502 0.0000

- calculated density (g/cm³) = 7.90
- space-group type = I4mm
- calculated formation energy (eV/atom) = -0.46
- Fermi-level density of states (states/eV/f.u.) = 4.05